1.
# SrAl2CuAs

Crystalline SrAl2CuAs at its relaxed geometry (PBE, the Alexandria database).

Properties
Magnetization = 0.000 μB per formula unit
DFT total energy = -0.123 Ha/atom
Formation energy from the elements = 245 meV/atom
Excess energy over the best structure of this formula in the dataset = 0 meV/atom

abc: 5.207 5.207 4.600
angles: 90.00 90.00 90.00
Sites, in units of the cell vectors:
1 Sr 0.000 0.000 0.000
2 Al 0.000 0.500 0.500
3 Al 0.500 0.000 0.500
4 Cu 0.500 0.500 0.000
5 As 0.500 0.500 0.500



2.
# Al2ZnCuAs

Crystalline Al2ZnCuAs at its relaxed geometry (PBE, the Alexandria database).

Properties
Magnetization = 0.000 μB per formula unit
DFT total energy = -0.107 Ha/atom
Formation energy from the elements = 588 meV/atom
Excess energy over the best structure of this formula in the dataset = 264 meV/atom

abc: 4.685 4.685 4.500
angles: 90.00 90.00 90.00
Sites, in units of the cell vectors:
1 Al 0.000 0.500 0.000
2 Al 0.500 0.000 0.000
3 Zn 0.000 0.000 0.000
4 Cu 0.000 0.000 0.500
5 As 0.500 0.500 0.500



3.
# Al2ZnCuAs

Crystalline Al2ZnCuAs at its relaxed geometry (PBE, the Alexandria database).

Properties
Magnetization = 0.000 μB per formula unit
DFT total energy = -0.117 Ha/atom
Formation energy from the elements = 325 meV/atom
Excess energy over the best structure of this formula in the dataset = 0 meV/atom

abc: 4.592 4.592 4.544
angles: 90.00 90.00 90.00
Sites, in units of the cell vectors:
1 Al 0.000 0.500 0.000
2 Al 0.500 0.000 0.000
3 Zn 0.000 0.000 0.500
4 Cu 0.000 0.000 0.000
5 As 0.500 0.500 0.500



4.
# ZrAl2CuAs

Crystalline ZrAl2CuAs at its relaxed geometry (PBE, the Alexandria database).

Properties
Magnetization = 0.000 μB per formula unit
DFT total energy = -0.162 Ha/atom
Formation energy from the elements = 556 meV/atom

abc: 4.860 4.860 4.406
angles: 90.00 90.00 90.00
Sites, in units of the cell vectors:
1 Zr 0.000 0.000 0.000
2 Al 0.000 0.500 0.500
3 Al 0.500 0.000 0.500
4 Cu 0.500 0.500 0.000
5 As 0.500 0.500 0.500



5.
# Zr2AlCuAs

Crystalline Zr2AlCuAs at its relaxed geometry (PBE, the Alexandria database).

Properties
Magnetization = 0.000 μB per formula unit
DFT total energy = -0.203 Ha/atom
Formation energy from the elements = 404 meV/atom

abc: 5.054 5.054 4.266
angles: 90.00 90.00 90.00
Sites, in units of the cell vectors:
1 Zr 0.000 0.500 0.000
2 Zr 0.500 0.000 0.000
3 Al 0.000 0.000 0.000
4 Cu 0.000 0.000 0.500
5 As 0.500 0.500 0.500



6.
# Dy2AlAs

Crystalline Dy2AlAs at its relaxed geometry (PBE, the Alexandria database).

Properties
Magnetization = 0.000 μB per formula unit
DFT total energy = -0.173 Ha/atom
Formation energy from the elements = -298 meV/atom

abc: 9.847 9.847 9.847
angles: 22.40 22.40 22.40
Sites, in units of the cell vectors:
1 Dy 0.107 0.107 0.107
2 Dy 0.893 0.893 0.893
3 Al 0.000 0.000 0.000
4 As 0.500 0.500 0.500



7.
# ErAlAs

Crystalline ErAlAs at its relaxed geometry (PBE, the Alexandria database).

Properties
Magnetization = 0.000 μB per formula unit
DFT total energy = -0.183 Ha/atom
Formation energy from the elements = -661 meV/atom

abc: 8.244 8.244 8.244
angles: 32.92 32.92 32.92
Sites, in units of the cell vectors:
1 Er 0.088 0.088 0.088
2 Er 0.912 0.912 0.912
3 Al 0.323 0.323 0.323
4 Al 0.677 0.677 0.677
5 As 0.216 0.216 0.216
6 As 0.784 0.784 0.784



8.
# Er2AlAs

Crystalline Er2AlAs at its relaxed geometry (PBE, the Alexandria database).

Properties
Magnetization = 0.000 μB per formula unit
DFT total energy = -0.189 Ha/atom
Formation energy from the elements = -776 meV/atom

abc: 7.965 7.965 7.965
angles: 28.44 28.44 28.44
Sites, in units of the cell vectors:
1 Er 0.240 0.240 0.240
2 Er 0.760 0.760 0.760
3 Al 0.000 0.000 0.000
4 As 0.500 0.500 0.500



9.
# Er3AlAs2Rh9

Crystalline Er3AlAs2Rh9 at its relaxed geometry (PBE, the Alexandria database).

Properties
Magnetization = 0.000 μB per formula unit
DFT total energy = -0.244 Ha/atom
Formation energy from the elements = -441 meV/atom

abc: 6.238 6.238 8.958
angles: 90.00 90.00 120.00
Sites, in units of the cell vectors:
1 Er 0.000 0.000 0.000
2 Er 0.333 0.667 0.732
3 Er 0.667 0.333 0.268
4 Al 0.000 0.000 0.500
5 As 0.333 0.667 0.176
6 As 0.667 0.333 0.824
7 Rh 0.000 0.500 0.000
8 Rh 0.140 0.280 0.275
9 Rh 0.140 0.860 0.275
10 Rh 0.280 0.140 0.725
11 Rh 0.500 0.000 0.000
12 Rh 0.500 0.500 0.000
13 Rh 0.720 0.860 0.275
14 Rh 0.860 0.140 0.725
15 Rh 0.860 0.720 0.725



10.
# Eu3Al2As4

Crystalline Eu3Al2As4 at its relaxed geometry (PBE, the Alexandria database).

Properties
Magnetization = 21.000 μB per formula unit
DFT total energy = -0.268 Ha/atom
Formation energy from the elements = -966 meV/atom

abc: 8.459 8.459 6.727
angles: 90.57 90.57 75.70
Sites, in units of the cell vectors:
1 Eu 0.098 0.902 0.750
2 Eu 0.252 0.506 0.030
3 Eu 0.494 0.748 0.470
4 Eu 0.506 0.252 0.530
5 Eu 0.748 0.494 0.970
6 Eu 0.902 0.098 0.250
7 Al 0.081 0.329 0.585
8 Al 0.329 0.081 0.085
9 Al 0.671 0.919 0.915
10 Al 0.919 0.671 0.415
11 As 0.070 0.243 0.935
12 As 0.214 0.561 0.526
13 As 0.243 0.070 0.435
14 As 0.439 0.786 0.974
15 As 0.561 0.214 0.026
16 As 0.757 0.930 0.565
17 As 0.786 0.439 0.474
18 As 0.930 0.757 0.065



11.
# AlAs3F

Crystalline AlAs3F at its relaxed geometry (PBE, the Alexandria database).

Properties
Magnetization = 0.000 μB per formula unit
DFT total energy = -0.132 Ha/atom
Raw formation energy = 0.333 eV per atom
Excess energy over the best structure of this formula in the dataset = 11 meV/atom

abc: 4.782 4.782 4.782
angles: 90.00 90.00 90.00
Sites, in units of the cell vectors:
1 Al 0.000 0.000 0.000
2 As 0.000 0.000 0.500
3 As 0.000 0.500 0.000
4 As 0.500 0.000 0.000
5 F 0.500 0.500 0.500



12.
# Al3AsF

Crystalline Al3AsF at its relaxed geometry (PBE, the Alexandria database).

Properties
Magnetization = 0.000 μB per formula unit
DFT total energy = -0.136 Ha/atom
Raw formation energy = -0.149 eV per atom
Excess energy over the best structure of this formula in the dataset = 0 meV/atom

abc: 4.503 4.503 4.503
angles: 90.00 90.00 90.00
Sites, in units of the cell vectors:
1 Al 0.000 0.000 0.500
2 Al 0.000 0.500 0.000
3 Al 0.500 0.000 0.000
4 As 0.500 0.500 0.500
5 F 0.000 0.000 0.000



Number 11 is which compound? AlAs3F